Material: AcAsH2Rh
Method: DFT, PBE
State: optimized geometry

- DOS at the Fermi energy (states/eV/f.u.) = 2.7
- E (eV per atom) = -5.206
- M_tot (μB per atom) = 0.000

Structure (extended XYZ):
```
10
Lattice="-0.456 1.475 3.830 1.661 -5.624 0.138 6.416 1.896 0.033" Properties=species:S:1:pos:R:3 pbc="T T T"
H 3.998 -0.435 0.643
H 3.624 -1.818 3.357
H 1.123 -2.557 3.344
H 6.499 0.305 0.656
Ac 5.190 0.095 2.807
Ac 2.432 -2.348 1.194
Rh 0.000 0.000 0.000
Rh 3.208 0.948 0.016
As 6.059 -2.829 1.811
As 1.563 0.577 2.190
```